# NbTlCdCo

A relaxed NbTlCdCo crystal (PBE, OQMD).

a b c (Å): 6.6055 6.6055 6.6055
angles (deg): 90.00 90.00 90.00
Space group F-43m (No. 216)
Unique sites:
Nb 0.0000 0.0000 0.0000 (multiplicity 4)
Tl 0.2500 0.2500 0.2500 (multiplicity 4)
Cd 0.2500 0.2500 0.7500 (multiplicity 4)
Co 0.0000 0.0000 0.5000 (multiplicity 4)

Properties
The relative energy among the computed polymorphs comes out at 0.048 eV per atom. For the total energy, the calculation gives -4.53 eV per atom.

=====

# NbTlCdCo

A relaxed NbTlCdCo crystal (PBE, OQMD).

a b c (Å): 6.5771 6.5771 6.5771
angles (deg): 90.00 90.00 90.00
Space group F-43m (No. 216)
Unique sites:
Nb 0.0000 0.0000 0.0000 (multiplicity 4)
Tl 0.0000 0.0000 0.5000 (multiplicity 4)
Cd 0.2500 0.2500 0.2500 (multiplicity 4)
Co 0.2500 0.2500 0.7500 (multiplicity 4)

Properties
The relative energy among the computed polymorphs comes out at 0.000 eV per atom. For the total energy, the calculation gives -4.58 eV per atom.

=====

# NbZnCdCo

A relaxed NbZnCdCo crystal (PBE, OQMD).

a b c (Å): 6.2847 6.2847 6.2847
angles (deg): 90.00 90.00 90.00
Space group F-43m (No. 216)
Unique sites:
Nb 0.0000 0.0000 0.0000 (multiplicity 4)
Zn 0.0000 0.0000 0.5000 (multiplicity 4)
Cd 0.2500 0.2500 0.2500 (multiplicity 4)
Co 0.2500 0.2500 0.7500 (multiplicity 4)

Properties
As for the formation energy: 0.20 eV/atom. The relative energy among the computed polymorphs comes out at 0.000 eV per atom. For the total energy, the calculation gives -4.64 eV per atom.

=====

# CdCoNiSb

A relaxed CdCoNiSb crystal (PBE, OQMD).

a b c (Å): 6.2778 6.2778 6.2778
angles (deg): 90.00 90.00 90.00
Space group F-43m (No. 216)
Unique sites:
Cd 0.0000 0.0000 0.0000 (multiplicity 4)
Co 0.2500 0.2500 0.7500 (multiplicity 4)
Ni 0.2500 0.2500 0.2500 (multiplicity 4)
Sb 0.0000 0.0000 0.5000 (multiplicity 4)

Properties
The relative energy among the computed polymorphs comes out at 0.000 eV per atom. For the total energy, the calculation gives -4.29 eV per atom.

=====

# CdCoSiNi

A relaxed CdCoSiNi crystal (PBE, OQMD).

a b c (Å): 5.9708 5.9708 5.9708
angles (deg): 90.00 90.00 90.00
Space group F-43m (No. 216)
Unique sites:
Cd 0.0000 0.0000 0.0000 (multiplicity 4)
Co 0.0000 0.0000 0.5000 (multiplicity 4)
Si 0.2500 0.2500 0.2500 (multiplicity 4)
Ni 0.2500 0.2500 0.7500 (multiplicity 4)

Properties
The relative energy among the computed polymorphs comes out at 0.228 eV per atom. For the total energy, the calculation gives -4.50 eV per atom.

=====

# CdCoSiNi

A relaxed CdCoSiNi crystal (PBE, OQMD).

a b c (Å): 5.9272 5.9272 5.9272
angles (deg): 90.00 90.00 90.00
Space group F-43m (No. 216)
Unique sites:
Cd 0.0000 0.0000 0.0000 (multiplicity 4)
Co 0.2500 0.2500 0.7500 (multiplicity 4)
Si 0.0000 0.0000 0.5000 (multiplicity 4)
Ni 0.2500 0.2500 0.2500 (multiplicity 4)

Properties
The relative energy among the computed polymorphs comes out at 0.000 eV per atom. For the total energy, the calculation gives -4.73 eV per atom.

=====

> The highest relative energy among the computed polymorphs belongs to which entry?

number 5

=====

> relative energy among the computed polymorphs of number 4 (CdCoNiSb)?

0.000 eV per atom

=====

Copy entry 1 word for word.
# NbTlCdCo

A relaxed NbTlCdCo crystal (PBE, OQMD).

a b c (Å): 6.6055 6.6055 6.6055
angles (deg): 90.00 90.00 90.00
Space group F-43m (No. 216)
Unique sites:
Nb 0.0000 0.0000 0.0000 (multiplicity 4)
Tl 0.2500 0.2500 0.2500 (multiplicity 4)
Cd 0.2500 0.2500 0.7500 (multiplicity 4)
Co 0.0000 0.0000 0.5000 (multiplicity 4)

Properties
The relative energy among the computed polymorphs comes out at 0.048 eV per atom. For the total energy, the calculation gives -4.53 eV per atom.